MoAsBr2O after structural relaxation, computed with GGA+U.

Structure (CIF):
```
data_MoAsBr2O
_space_group_name_H-M_alt 'P 4/m m m'
_space_group_IT_number 123
_space_group_name_Hall '-P 4 2'
_cell_length_a 4.8570
_cell_length_b 4.8570
_cell_length_c 4.3930
_cell_angle_alpha 90.00
_cell_angle_beta 90.00
_cell_angle_gamma 90.00
loop_
_atom_site_label
_atom_site_type_symbol
_atom_site_fract_x
_atom_site_fract_y
_atom_site_fract_z
Mo1 Mo 0.0000 0.0000 0.0000
As1 As 0.5000 0.5000 0.0000
Br1 Br 0.0000 0.5000 0.5000
O1 O 0.5000 0.5000 0.5000
```

Calculated values
For the raw total energy, the calculation gives -0.2488 Ry per atom. As for the energy above the most stable polymorph in this dataset: 0.000 eV/atom. As for the crystal system: tetragonal.